[1]
DFT (PBE) results for YPPb2 after structural relaxation.

## Properties
formation energy: -0.092 eV/atom
DFT total energy: -4.92 eV/atom

Lattice parameters (Å, degrees): 7.4802 7.4802 7.4802 90.00 90.00 90.00
Space group F-43m (No. 216)
Unique sites:
Y (0.0000, 0.0000, 0.0000) [4 per cell]
P (0.2500, 0.2500, 0.7500) [4 per cell]
Pb (0.0000, 0.0000, 0.5000) [4 per cell]
Pb (0.2500, 0.2500, 0.2500) [4 per cell]


[2]
DFT (PBE) results for YP2Pb after structural relaxation.

## Properties
formation energy: 0.144 eV/atom
DFT total energy: -5.10 eV/atom

Lattice parameters (Å, degrees): 7.1050 7.1050 7.1050 90.00 90.00 90.00
Space group F-43m (No. 216)
Unique sites:
Y (0.0000, 0.0000, 0.0000) [4 per cell]
P (0.0000, 0.0000, 0.5000) [4 per cell]
P (0.2500, 0.2500, 0.2500) [4 per cell]
Pb (0.2500, 0.2500, 0.7500) [4 per cell]


[3]
DFT (PBE) results for Y3PPb after structural relaxation.

## Properties
formation energy: -0.281 eV/atom
energy above the lowest structure with this stoichiometry: 3.17 eV/f.u.
DFT total energy: -5.98 eV/atom

Lattice parameters (Å, degrees): 4.2003 4.2003 8.6432 90.00 90.00 90.00
Space group P4mm (No. 99)
Unique sites:
Y (0.0000, 0.0000, 0.0000) [1 per cell]
Y (0.0000, 0.5000, 0.6677) [2 per cell]
P (0.5000, 0.5000, 0.9109) [1 per cell]
Pb (0.0000, 0.0000, 0.3632) [1 per cell]


[4]
DFT (PBE) results for YPPb2 after structural relaxation.

## Properties
formation energy: -0.184 eV/atom
DFT total energy: -5.01 eV/atom

Lattice parameters (Å, degrees): 4.7018 4.7018 9.2260 90.00 90.00 90.00
Space group I-4m2 (No. 119)
Unique sites:
Y (0.0000, 0.0000, 0.0000) [2 per cell]
P (0.0000, 0.5000, 0.7500) [2 per cell]
Pb (0.0000, 0.0000, 0.5000) [2 per cell]
Pb (0.0000, 0.5000, 0.2500) [2 per cell]


[5]
DFT (PBE) results for YP2Pb after structural relaxation.

## Properties
formation energy: -0.360 eV/atom
DFT total energy: -5.61 eV/atom

Lattice parameters (Å, degrees): 6.3069 6.3069 12.8424 90.00 90.00 90.00
Space group I-42d (No. 122)
Unique sites:
Y (0.0000, 0.0000, 0.0000) [4 per cell]
P (0.2441, 0.2500, 0.1250) [8 per cell]
Pb (0.0000, 0.0000, 0.5000) [4 per cell]


[6]
DFT (PBE) results for Y3PPb after structural relaxation.

## Properties
formation energy: -0.778 eV/atom
energy above the lowest structure with this stoichiometry: 0.68 eV/f.u.
DFT total energy: -6.48 eV/atom

Lattice parameters (Å, degrees): 7.0190 7.0190 20.7389 90.00 90.00 120.00
Space group R-3 (No. 148, hexagonal axes)
Unique sites:
Y (0.0005, 0.5571, 0.4107) [18 per cell]
P (0.0000, 0.0000, 0.1667) [6 per cell]
Pb (0.0000, 0.0000, 0.3831) [6 per cell]


[7]
DFT (PBE) results for Y3PPb after structural relaxation.

## Properties
formation energy: -0.349 eV/atom
energy above the lowest structure with this stoichiometry: 2.83 eV/f.u.
DFT total energy: -6.05 eV/atom

Lattice parameters (Å, degrees): 6.4465 15.2972 5.4847 90.00 90.00 90.00
Space group Cmcm (No. 63)
Unique sites:
Y (0.0000, 0.0000, 0.0000) [4 per cell]
Y (0.2486, 0.3238, 0.2500) [8 per cell]
P (0.0000, 0.1680, 0.2500) [4 per cell]
Pb (0.0000, 0.4042, 0.7500) [4 per cell]


[8]
DFT (PBE) results for Y3PPb after structural relaxation.

## Properties
formation energy: -0.361 eV/atom
energy above the lowest structure with this stoichiometry: 2.77 eV/f.u.
DFT total energy: -6.06 eV/atom

Lattice parameters (Å, degrees): 8.8250 8.8250 12.4380 90.00 90.00 120.00
Space group R-3c (No. 167, hexagonal axes)
Unique sites:
Y (0.0000, 0.3079, 0.2500) [18 per cell]
P (0.0000, 0.0000, 0.2500) [6 per cell]
Pb (0.0000, 0.0000, 0.0000) [6 per cell]


What did the sixth record say?
DFT (PBE) results for Y3PPb after structural relaxation.

## Properties
formation energy: -0.778 eV/atom
energy above the lowest structure with this stoichiometry: 0.68 eV/f.u.
DFT total energy: -6.48 eV/atom

Lattice parameters (Å, degrees): 7.0190 7.0190 20.7389 90.00 90.00 120.00
Space group R-3 (No. 148, hexagonal axes)
Unique sites:
Y (0.0005, 0.5571, 0.4107) [18 per cell]
P (0.0000, 0.0000, 0.1667) [6 per cell]
Pb (0.0000, 0.0000, 0.3831) [6 per cell]